1.
TbEr9In2 | PBE | optimized geometry

Cell: 4.834 4.834 14.791 Å, 90.00 90.00 90.00°
Sites, in units of the cell vectors:
Tb1 0.000 0.000 0.000
Er1 0.000 0.500 0.172
Er2 0.000 0.500 0.500
Er3 0.000 0.500 0.828
Er4 0.500 0.000 0.172
Er5 0.500 0.000 0.500
Er6 0.500 0.000 0.828
Er7 0.500 0.500 0.000
Er8 0.500 0.500 0.338
Er9 0.500 0.500 0.662
In1 0.000 0.000 0.339
In2 0.000 0.000 0.661

Results
* SG: P4/mmm
* energy of formation: -0.1627 eV per atom
* D(E_F): 1.0755 states/eV/atom

=====

2.
Hf2NbPdSe | PBE | optimized geometry

Cell: 5.118 5.118 4.754 Å, 90.00 90.00 90.00°
Sites, in units of the cell vectors:
Hf1 0.000 0.500 0.000
Hf2 0.500 0.000 0.000
Nb1 0.000 0.000 0.000
Pd1 0.500 0.500 0.500
Se1 0.000 0.000 0.500

Results
* SG: P4/mmm
* D(E_F): 0.4261 states/eV/atom
* energy relative to the elements, uncorrected: 0.7631 eV per atom

=====

3.
CaNdGa2Pd2 | PBE | optimized geometry

Cell: 4.474 4.474 7.542 Å, 90.00 90.00 120.00°
Sites, in units of the cell vectors:
Ca1 0.000 0.000 0.000
Nd1 0.000 0.000 0.500
Ga1 0.333 0.667 0.751
Ga2 0.667 0.333 0.249
Pd1 0.333 0.667 0.255
Pd2 0.667 0.333 0.745

Results
* SG: P-3m1
* energy of formation: -0.7546 eV per atom
* D(E_F): 0.5709 states/eV/atom

=====

4.
LaMnGa2Sn | PBE | optimized geometry

Cell: 4.692 4.692 4.914 Å, 90.00 90.00 90.00°
Sites, in units of the cell vectors:
La1 0.000 0.000 0.000
Mn1 0.500 0.500 0.500
Ga1 0.000 0.500 0.500
Ga2 0.500 0.000 0.500
Sn1 0.500 0.500 0.000

Results
* SG: P4/mmm
* energy of formation: -0.3094 eV per atom
* D(E_F): 0.4222 states/eV/atom

=====

5.
InPd6Pt3 | PBE | optimized geometry

Cell: 6.881 6.710 9.336 Å, 90.00 128.57 90.00°
Sites, in units of the cell vectors:
In1 0.000 0.000 0.000
In2 0.000 0.500 0.500
Pd1 0.104 0.103 0.652
Pd2 0.104 0.397 0.152
Pd3 0.240 0.689 0.809
Pd4 0.240 0.811 0.309
Pd5 0.496 0.635 0.202
Pd6 0.496 0.865 0.702
Pd7 0.504 0.135 0.298
Pd8 0.504 0.365 0.798
Pd9 0.760 0.189 0.691
Pd10 0.760 0.311 0.191
Pd11 0.896 0.603 0.848
Pd12 0.896 0.897 0.348
Pt1 0.248 0.174 0.447
Pt2 0.248 0.326 0.947
Pt3 0.500 0.000 0.000
Pt4 0.500 0.500 0.500
Pt5 0.752 0.674 0.053
Pt6 0.752 0.826 0.553

Results
* polymorph energy (0 for the lowest one): 125 kJ/mol of formula units
* SG: P2_1/c
* energy of formation: -0.0343 eV per atom
* D(E_F): 1.3395 states/eV/atom

=====

6.
Sr6Sb2AsI3 | PBE | optimized geometry

Cell: 8.300 8.300 8.395 Å, 99.47 99.47 120.01°
Sites, in units of the cell vectors:
Sr1 0.069 0.389 0.206
Sr2 0.252 0.252 0.795
Sr3 0.389 0.069 0.206
Sr4 0.611 0.931 0.794
Sr5 0.748 0.748 0.205
Sr6 0.931 0.611 0.794
Sb1 0.333 0.667 0.000
Sb2 0.667 0.333 0.000
As1 0.000 0.000 0.000
I1 0.166 0.834 0.500
I2 0.500 0.500 0.500
I3 0.834 0.166 0.500

Results
* SG: C2/m
* energy relative to the elements, uncorrected: -1.3690 eV per atom

=====

7.
Y3Tc | PBE | optimized geometry

Cell: 4.651 4.651 4.651 Å, 90.00 90.00 90.00°
Sites, in units of the cell vectors:
Y1 0.000 0.000 0.500
Y2 0.000 0.500 0.000
Y3 0.500 0.000 0.000
Tc1 0.500 0.500 0.500

Results
* SG: Pm-3m
* energy of formation: 0.2723 eV per atom
* D(E_F): 1.4034 states/eV/atom

=====

8.
Li2Er2Al5Pd | PBE | optimized geometry

Cell: 10.196 10.196 3.446 Å, 90.00 90.00 90.00°
Sites, in units of the cell vectors:
Li1 0.126 0.374 0.000
Li2 0.374 0.874 0.000
Li3 0.626 0.126 0.000
Li4 0.874 0.626 0.000
Er1 0.177 0.677 0.000
Er2 0.323 0.177 0.000
Er3 0.677 0.823 0.000
Er4 0.823 0.323 0.000
Al1 0.000 0.500 0.500
Al2 0.053 0.192 0.500
Al3 0.192 0.947 0.500
Al4 0.308 0.447 0.500
Al5 0.447 0.692 0.500
Al6 0.500 0.000 0.500
Al7 0.553 0.308 0.500
Al8 0.692 0.553 0.500
Al9 0.808 0.053 0.500
Al10 0.947 0.808 0.500
Pd1 0.000 0.000 0.000
Pd2 0.500 0.500 0.000

Results
* SG: P4/mbm
* energy of formation: -0.3568 eV per atom
* D(E_F): 0.3597 states/eV/atom

=====

9.
HfInO2F | PBE | optimized geometry

Cell: 4.141 4.141 4.189 Å, 90.00 90.00 90.00°
Sites, in units of the cell vectors:
Hf1 0.000 0.000 0.000
In1 0.500 0.500 0.500
O1 0.000 0.500 0.000
O2 0.500 0.000 0.000
F1 0.000 0.000 0.500

Results
* SG: P4/mmm
* energy relative to the elements, uncorrected: -2.5708 eV per atom

=====

10.
KZr3Se | PBE | optimized geometry

Cell: 5.184 5.184 5.184 Å, 90.00 90.00 90.00°
Sites, in units of the cell vectors:
K1 0.000 0.000 0.000
Zr1 0.000 0.500 0.500
Zr2 0.500 0.000 0.500
Zr3 0.500 0.500 0.000
Se1 0.500 0.500 0.500

Results
* polymorph energy (0 for the lowest one): 0 kJ/mol of formula units
* SG: Pm-3m
* D(E_F): 0.8328 states/eV/atom
* energy relative to the elements, uncorrected: 0.2895 eV per atom

=====

11.
BeCr2Cd | PBE | optimized geometry

Cell: 2.606 2.606 7.549 Å, 90.00 90.00 90.00°
Sites, in units of the cell vectors:
Be1 0.000 0.000 0.000
Cr1 0.500 0.500 0.199
Cr2 0.500 0.500 0.801
Cd1 0.000 0.000 0.500

Results
* polymorph energy (0 for the lowest one): 78 kJ/mol of formula units
* SG: P4/mmm
* energy of formation: 0.4492 eV per atom
* D(E_F): 0.8790 states/eV/atom

=====

12.
YCuSn3 | PBE | optimized geometry

Cell: 12.466 6.208 6.107 Å, 90.00 90.00 90.00°
Sites, in units of the cell vectors:
Y1 0.197 0.005 0.250
Y2 0.197 0.495 0.750
Y3 0.803 0.505 0.250
Y4 0.803 0.995 0.750
Cu1 0.383 0.250 0.000
Cu2 0.383 0.250 0.500
Cu3 0.617 0.750 0.000
Cu4 0.617 0.750 0.500
Sn1 0.001 0.250 0.000
Sn2 0.001 0.250 0.500
Sn3 0.261 0.517 0.250
Sn4 0.261 0.983 0.750
Sn5 0.446 0.605 0.750
Sn6 0.446 0.895 0.250
Sn7 0.554 0.105 0.750
Sn8 0.554 0.395 0.250
Sn9 0.739 0.017 0.250
Sn10 0.739 0.483 0.750
Sn11 0.999 0.750 0.000
Sn12 0.999 0.750 0.500

Results
* polymorph energy (0 for the lowest one): 0 kJ/mol of formula units
* SG: Pbcm
* energy of formation: -0.3463 eV per atom
* D(E_F): 0.6184 states/eV/atom

=====

13.
Sr2CuP | PBE | optimized geometry

Cell: 5.196 5.196 3.837 Å, 90.00 90.00 90.00°
Sites, in units of the cell vectors:
Sr1 0.000 0.500 0.000
Sr2 0.500 0.000 0.000
Cu1 0.000 0.000 0.500
P1 0.500 0.500 0.500

Results
* SG: P4/mmm
* energy of formation: -0.4716 eV per atom
* D(E_F): 0.1572 states/eV/atom

=====

14.
Ca2ReTc | PBE | optimized geometry

Cell: 4.970 4.970 4.970 Å, 60.00 60.00 60.00°
Sites, in units of the cell vectors:
Ca1 0.250 0.250 0.250
Ca2 0.750 0.750 0.750
Re1 0.000 0.000 0.000
Tc1 0.500 0.500 0.500

Results
* polymorph energy (0 for the lowest one): 371 kJ/mol of formula units
* SG: Fm-3m
* energy of formation: 1.2229 eV per atom
* D(E_F): 1.3434 states/eV/atom

=====

15.
Ce4ZnCo2 | PBE | optimized geometry

Cell: 7.090 7.090 7.718 Å, 106.88 106.88 111.56°
Sites, in units of the cell vectors:
Ce1 0.010 0.990 0.500
Ce2 0.084 0.431 0.355
Ce3 0.367 0.845 0.212
Ce4 0.431 0.084 0.855
Ce5 0.431 0.584 0.855
Ce6 0.584 0.431 0.355
Ce7 0.845 0.367 0.712
Ce8 0.990 0.010 0.000
Zn1 0.593 0.842 0.606
Zn2 0.842 0.593 0.106
Co1 0.078 0.715 0.723
Co2 0.211 0.347 0.988
Co3 0.347 0.211 0.488
Co4 0.715 0.078 0.223

Results
* SG: Cc
* energy of formation: -0.1392 eV per atom
* D(E_F): 1.9573 states/eV/atom

=====

16.
Sm6HgP2S3 | PBE | optimized geometry

Cell: 9.175 9.175 8.302 Å, 102.94 102.94 25.67°
Sites, in units of the cell vectors:
Sm1 0.002 0.002 0.271
Sm2 0.327 0.327 0.906
Sm3 0.331 0.331 0.422
Sm4 0.669 0.669 0.578
Sm5 0.673 0.673 0.094
Sm6 0.998 0.998 0.729
Hg1 0.500 0.500 0.000
P1 0.167 0.167 0.334
P2 0.833 0.833 0.666
S1 0.167 0.167 0.833
S2 0.500 0.500 0.500
S3 0.833 0.833 0.167

Results
* SG: C2/m
* D(E_F): 0.4605 states/eV/atom
* energy relative to the elements, uncorrected: -1.6049 eV per atom

=====

17.
CaNiPb2 | PBE | optimized geometry

Cell: 5.411 4.043 5.448 Å, 90.00 114.28 90.00°
Sites, in units of the cell vectors:
Ca1 0.000 0.000 0.000
Ni1 0.500 0.000 0.500
Pb1 0.317 0.500 0.685
Pb2 0.683 0.500 0.315

Results
* SG: P2/m
* energy of formation: -0.1176 eV per atom
* D(E_F): 0.4460 states/eV/atom

=====

18.
ThZrSc | PBE | optimized geometry

Cell: 7.663 7.663 7.663 Å, 155.11 155.11 35.49°
Sites, in units of the cell vectors:
Th1 0.000 0.000 0.000
Zr1 0.330 0.330 0.000
Sc1 0.679 0.679 0.000

Results
* polymorph energy (0 for the lowest one): 3 kJ/mol of formula units
* SG: I4mm
* energy of formation: 0.0618 eV per atom
* D(E_F): 0.9560 states/eV/atom

=====

19.
AlCu2GeTe4 | PBE | optimized geometry

Cell: 7.502 7.501 6.171 Å, 65.72 65.70 48.58°
Sites, in units of the cell vectors:
Al1 0.000 0.000 0.000
Cu1 0.250 0.250 0.250
Cu2 0.750 0.750 0.750
Ge1 0.500 0.500 0.500
Te1 0.104 0.626 0.896
Te2 0.374 0.897 0.103
Te3 0.626 0.104 0.374
Te4 0.897 0.374 0.626

Results
* SG: Fmm2
* D(E_F): 0.4242 states/eV/atom
* energy relative to the elements, uncorrected: -0.1730 eV per atom

=====

20.
Cs3NdPu2O9 | PBE | optimized geometry

Cell: 6.275 6.275 7.696 Å, 90.00 90.00 120.00°
Sites, in units of the cell vectors:
Cs1 0.000 0.000 0.000
Cs2 0.333 0.667 0.663
Cs3 0.667 0.333 0.337
Nd1 0.000 0.000 0.500
Pu1 0.333 0.667 0.159
Pu2 0.667 0.333 0.841
O1 0.000 0.500 0.000
O2 0.180 0.361 0.314
O3 0.180 0.820 0.314
O4 0.361 0.180 0.686
O5 0.500 0.000 0.000
O6 0.500 0.500 0.000
O7 0.639 0.820 0.314
O8 0.820 0.180 0.686
O9 0.820 0.639 0.686

Results
* SG: P-3m1
* D(E_F): 0.5954 states/eV/atom
* energy relative to the elements, uncorrected: -2.4391 eV per atom

=====

Number 1: magnetic moment 0.0 Bohr magnetons per cell, calculated total energy -4.427 eV per atom, calculated volume 28.80 Å³/atom. Number 2: magnetic moment 0.0 Bohr magnetons per cell, calculated total energy -6.968 eV per atom, calculated volume 24.91 Å³/atom. Number 3: magnetic moment 0.0 Bohr magnetons per cell, calculated total energy -4.623 eV per atom, calculated volume 21.79 Å³/atom. Number 4: magnetic moment 0.0 Bohr magnetons per cell, calculated total energy -5.140 eV per atom, calculated volume 21.63 Å³/atom. Number 5: magnetic moment 0.0 Bohr magnetons per cell, calculated total energy -5.236 eV per atom, calculated volume 16.85 Å³/atom. Number 6: magnetic moment 0.0 Bohr magnetons per cell, calculated total energy -3.672 eV per atom, calculated volume 39.41 Å³/atom. Number 7: magnetic moment 0.0 Bohr magnetons per cell, calculated total energy -7.167 eV per atom, calculated volume 25.15 Å³/atom. Number 8: magnetic moment 0.0 Bohr magnetons per cell, calculated total energy -4.043 eV per atom, calculated volume 17.91 Å³/atom. Number 9: magnetic moment 0.0 Bohr magnetons per cell, calculated total energy -7.467 eV per atom, calculated volume 14.37 Å³/atom. Number 10: magnetic moment 0.0 Bohr magnetons per cell, calculated total energy -5.756 eV per atom, calculated volume 27.86 Å³/atom. Number 11: magnetic moment 0.4 Bohr magnetons per cell, calculated total energy -5.523 eV per atom, calculated volume 12.82 Å³/atom. Number 12: magnetic moment 0.0 Bohr magnetons per cell, calculated total energy -4.860 eV per atom, calculated volume 23.63 Å³/atom. Number 13: magnetic moment 0.0 Bohr magnetons per cell, calculated total energy -3.689 eV per atom, calculated volume 25.89 Å³/atom. Number 14: magnetic moment 3.9 Bohr magnetons per cell, calculated total energy -5.481 eV per atom, calculated volume 21.70 Å³/atom. Number 15: magnetic moment 0.0 Bohr magnetons per cell, calculated total energy -5.742 eV per atom, calculated volume 22.07 Å³/atom. Number 16: magnetic moment 0.0 Bohr magnetons per cell, calculated total energy -5.923 eV per atom, calculated volume 24.55 Å³/atom. Number 17: magnetic moment 0.0 Bohr magnetons per cell, calculated total energy -3.917 eV per atom, calculated volume 27.16 Å³/atom. Number 18: magnetic moment 0.0 Bohr magnetons per cell, calculated total energy -7.371 eV per atom, calculated volume 26.54 Å³/atom. Number 19: magnetic moment 0.0 Bohr magnetons per cell, calculated total energy -3.813 eV per atom, calculated volume 29.05 Å³/atom. Number 20: magnetic moment 4.0 Bohr magnetons per cell, calculated total energy -7.814 eV per atom, calculated volume 17.50 Å³/atom.